[1]
DFT (GGA-PBE) results for a relaxed Nd4Sm4Dy3 crystal.

Properties
- Total magnetic moment: 0.0 μB per cell
- Energy relative to the elements: 0.14 eV per atom
- Crystal system: orthorhombic
- Energy above the lowest structure with this stoichiometry: 0.021 eV per atom

abc: 10.741 5.752 12.178
angles: 90.00 90.00 90.00
Space group Amm2 (No. 38)
Inequivalent atoms, fractional coordinates:
Nd 0.000 0.000 0.000
Nd 0.205 0.000 0.796
Nd 0.500 0.000 0.929
Sm 0.000 0.000 0.589
Sm 0.300 0.000 0.145
Sm 0.500 0.000 0.658
Dy 0.000 0.000 0.295
Dy 0.292 0.000 0.450



[2]
DFT (GGA-PBE) results for a relaxed Hf2VOs crystal.

Properties
- Total magnetic moment: 2.2 μB per cell
- Energy relative to the elements: 0.65 eV per atom
- Crystal system: orthorhombic

abc: 2.921 4.810 10.768
angles: 90.00 90.00 90.00
Space group Immm (No. 71)
Inequivalent atoms, fractional coordinates:
Hf 0.000 0.000 0.236
V 0.000 0.000 0.500
Os 0.000 0.000 0.000



[3]
DFT (GGA-PBE) results for a relaxed CsDyO2 crystal.

Properties
- Total magnetic moment: 0.0 μB per cell
- Crystal system: trigonal
- Formation energy without anion corrections: -2.602 eV/atom

abc: 3.5517 3.5517 20.8352
angles: 90.00 90.00 120.00
Space group R3m (No. 160, hexagonal axes)
Inequivalent atoms, fractional coordinates:
Cs 0.0000 0.0000 0.0000
Dy 0.0000 0.0000 0.1697
O 0.0000 0.0000 0.5592
O 0.0000 0.0000 0.7832



[4]
DFT (GGA-PBE) results for a relaxed LaMnCu2 crystal.

Properties
- Total magnetic moment: 3.3 μB per cell
- Energy relative to the elements: 0.16 eV per atom
- Crystal system: tetragonal

abc: 3.244 3.244 6.884
angles: 90.00 90.00 90.00
Space group P4mm (No. 99)
Inequivalent atoms, fractional coordinates:
La 0.000 0.000 0.000
Mn 0.500 0.500 0.328
Cu 0.000 0.000 0.512
Cu 0.500 0.500 0.691



[5]
DFT (GGA-PBE) results for a relaxed PmSm6YSc2 crystal.

Properties
- Total magnetic moment: 0.0 μB per cell
- Energy relative to the elements: 0.12 eV per atom
- Crystal system: monoclinic

abc: 9.059 15.002 9.543
angles: 90.00 97.91 90.00
Space group C2/c (No. 15)
Inequivalent atoms, fractional coordinates:
Pm 0.000 0.094 0.250
Sm 0.064 0.324 0.447
Sm 0.099 0.103 0.619
Sm 0.210 0.271 0.819
Y 0.000 0.472 0.750
Sc 0.246 0.449 0.047



[6]
DFT (GGA-PBE) results for a relaxed YCrCo2 crystal.

Properties
- Total magnetic moment: 1.4 μB per cell
- Energy relative to the elements: 0.17 eV per atom
- Crystal system: tetragonal
- Energy above the lowest structure with this stoichiometry: 0.152 eV per atom

abc: 2.935 2.935 6.774
angles: 90.00 90.00 90.00
Space group P4/mmm (No. 123)
Inequivalent atoms, fractional coordinates:
Y 0.000 0.000 0.000
Cr 0.000 0.000 0.500
Co 0.500 0.500 0.311



[7]
DFT (GGA-PBE) results for a relaxed CrGaCo2 crystal.

Properties
- Total magnetic moment: 0.0 μB per cell
- Energy relative to the elements: -0.10 eV per atom
- Crystal system: tetragonal

abc: 2.604 2.604 6.753
angles: 90.00 90.00 90.00
Space group P4/mmm (No. 123)
Inequivalent atoms, fractional coordinates:
Cr 0.000 0.000 0.000
Ga 0.000 0.000 0.500
Co 0.500 0.500 0.241



[8]
DFT (GGA-PBE) results for a relaxed Hf2BeFeH crystal.

Properties
- Total magnetic moment: 0.3 μB per cell
- Crystal system: tetragonal

abc: 4.414 4.414 3.317
angles: 90.00 90.00 90.00
Space group P4/mmm (No. 123)
Inequivalent atoms, fractional coordinates:
Hf 0.000 0.500 0.000
Be 0.000 0.000 0.500
Fe 0.500 0.500 0.500
H 0.500 0.500 0.000



[9]
DFT (GGA-PBE) results for a relaxed K2SiAgO4 crystal.

Properties
- Total magnetic moment: 8.0 μB per cell
- Crystal system: orthorhombic
- Formation energy without anion corrections: -1.542 eV/atom

abc: 5.557 11.614 19.808
angles: 90.00 90.00 90.00
Space group Fddd (No. 70, origin choice 2)
Inequivalent atoms, fractional coordinates:
K 0.125 0.125 0.307
Si 0.125 0.125 0.625
Ag 0.125 0.125 0.125
O 0.057 0.288 0.832



[10]
DFT (GGA-PBE) results for a relaxed KZnMo3 crystal.

Properties
- Total magnetic moment: 0.0 μB per cell
- Energy relative to the elements: 3.00 eV per atom
- Crystal system: cubic
- Energy above the lowest structure with this stoichiometry: 0.915 eV per atom

abc: 4.511 4.511 4.511
angles: 90.00 90.00 90.00
Space group Pm-3m (No. 221)
Inequivalent atoms, fractional coordinates:
K 0.000 0.000 0.000
Zn 0.500 0.500 0.500
Mo 0.000 0.000 0.500



[11]
DFT (GGA-PBE) results for a relaxed DyCoGe2Os crystal.

Properties
- Total magnetic moment: 0.0 μB per cell
- Energy relative to the elements: -0.49 eV per atom
- Crystal system: tetragonal

abc: 4.104 4.104 10.124
angles: 90.00 90.00 90.00
Space group I-4m2 (No. 119)
Inequivalent atoms, fractional coordinates:
Dy 0.000 0.000 0.000
Co 0.000 0.500 0.250
Ge 0.000 0.000 0.374
Os 0.000 0.500 0.750



[12]
DFT (GGA-PBE) results for a relaxed CaFeOs crystal.

Properties
- Total magnetic moment: 17.5 μB per cell
- Energy relative to the elements: 1.87 eV per atom
- Crystal system: cubic
- Energy above the lowest structure with this stoichiometry: 1.731 eV per atom

abc: 6.348 6.348 6.348
angles: 90.00 90.00 90.00
Space group F-43m (No. 216)
Inequivalent atoms, fractional coordinates:
Ca 0.000 0.000 0.000
Fe 0.250 0.250 0.250
Os 0.250 0.250 0.750



[13]
DFT (GGA-PBE) results for a relaxed ZnTc2Au crystal.

Properties
- Total magnetic moment: 0.0 μB per cell
- Energy relative to the elements: 0.23 eV per atom
- Crystal system: monoclinic

abc: 9.493 2.806 4.653
angles: 90.00 100.15 90.00
Space group C2/m (No. 12)
Inequivalent atoms, fractional coordinates:
Zn 0.000 0.000 0.000
Tc 0.249 0.500 0.237
Au 0.000 0.500 0.500



[14]
DFT (GGA-PBE) results for a relaxed LiIr2F crystal.

Properties
- Total magnetic moment: 0.0 μB per cell
- Crystal system: tetragonal
- Formation energy without anion corrections: 0.191 eV/atom
- Energy above the lowest structure with this stoichiometry: 0.000 eV per atom

abc: 8.092 8.092 4.044
angles: 90.00 90.00 90.00
Space group I-42d (No. 122)
Inequivalent atoms, fractional coordinates:
Li 0.000 0.000 0.000
Ir 0.182 0.750 0.625
F 0.000 0.000 0.500



[15]
DFT (GGA-PBE) results for a relaxed ScCdBr2 crystal.

Properties
- Total magnetic moment: 0.0 μB per cell
- Crystal system: monoclinic
- Formation energy without anion corrections: -0.849 eV/atom
- Energy above the lowest structure with this stoichiometry: 0.159 eV per atom

abc: 4.861 3.683 7.882
angles: 90.00 107.89 90.00
Space group Pm (No. 6)
Inequivalent atoms, fractional coordinates:
Sc 0.000 0.000 0.000
Cd 0.552 0.500 0.104
Br 0.167 0.000 0.334
Br 0.870 0.500 0.739



[16]
DFT (GGA-PBE) results for a relaxed Tb2Nd5Er4 crystal.

Properties
- Total magnetic moment: 0.0 μB per cell
- Energy relative to the elements: 0.07 eV per atom
- Crystal system: monoclinic
- Energy above the lowest structure with this stoichiometry: 0.000 eV per atom

abc: 17.687 3.551 11.633
angles: 90.00 93.99 90.00
Space group C2/m (No. 12)
Inequivalent atoms, fractional coordinates:
Tb 0.216 0.000 0.352
Nd 0.000 0.000 0.000
Nd 0.096 0.500 0.535
Nd 0.176 0.500 0.070
Er 0.035 0.500 0.260
Er 0.140 0.000 0.795



[17]
DFT (GGA-PBE) results for a relaxed Gd3Pb5O12 crystal.

Properties
- Total magnetic moment: 165.8 μB per cell
- Crystal system: cubic
- Formation energy without anion corrections: -1.710 eV/atom

abc: 13.767 13.767 13.767
angles: 90.00 90.00 90.00
Space group Ia-3d (No. 230)
Inequivalent atoms, fractional coordinates:
Gd 0.000 0.250 0.125
Pb 0.000 0.000 0.000
Pb 0.000 0.250 0.375
O 0.016 0.069 0.652



[18]
DFT (GGA-PBE) results for a relaxed PmNiH crystal.

Properties
- Total magnetic moment: 0.0 μB per cell
- Crystal system: trigonal
- Energy above the lowest structure with this stoichiometry: 0.447 eV per atom

abc: 4.0681 4.0681 12.4951
angles: 90.00 90.00 120.00
Space group R3m (No. 160, hexagonal axes)
Inequivalent atoms, fractional coordinates:
Pm 0.0000 0.0000 0.0000
Ni 0.0000 0.0000 0.7732
H 0.0000 0.0000 0.6441



[19]
DFT (GGA-PBE) results for a relaxed Th3CuTc2 crystal.

Properties
- Total magnetic moment: 0.0 μB per cell
- Energy relative to the elements: -0.13 eV per atom
- Crystal system: orthorhombic

abc: 11.456 4.436 10.784
angles: 90.00 90.00 90.00
Space group Pnma (No. 62)
Inequivalent atoms, fractional coordinates:
Th 0.058 0.250 0.120
Th 0.115 0.750 0.568
Th 0.206 0.250 0.807
Cu 0.141 0.250 0.382
Tc 0.028 0.750 0.298
Tc 0.174 0.750 0.027



[20]
DFT (GGA-PBE) results for a relaxed YAs2Ru crystal.

Properties
- Total magnetic moment: 0.6 μB per cell
- Energy relative to the elements: -0.38 eV per atom
- Crystal system: tetragonal
- Energy above the lowest structure with this stoichiometry: 0.345 eV per atom

abc: 3.592 3.592 5.941
angles: 90.00 90.00 90.00
Space group P4mm (No. 99)
Inequivalent atoms, fractional coordinates:
Y 0.000 0.000 0.000
As 0.000 0.000 0.507
As 0.500 0.500 0.214
Ru 0.500 0.500 0.650



[21]
DFT (GGA-PBE) results for a relaxed BaBe2Cu crystal.

Properties
- Total magnetic moment: 0.0 μB per cell
- Energy relative to the elements: 1.03 eV per atom
- Crystal system: orthorhombic
- Energy above the lowest structure with this stoichiometry: 0.924 eV per atom

abc: 3.235 4.897 4.968
angles: 90.00 90.00 90.00
Space group Pmmm (No. 47)
Inequivalent atoms, fractional coordinates:
Ba 0.000 0.000 0.000
Be 0.000 0.500 0.500
Be 0.500 0.000 0.500
Cu 0.500 0.500 0.000



[22]
DFT (GGA-PBE) results for a relaxed NdPuPdPt crystal.

Properties
- Total magnetic moment: 23.1 μB per cell
- Energy relative to the elements: -0.72 eV per atom
- Crystal system: cubic
- Energy above the lowest structure with this stoichiometry: 0.068 eV per atom

abc: 7.137 7.137 7.137
angles: 90.00 90.00 90.00
Space group F-43m (No. 216)
Inequivalent atoms, fractional coordinates:
Nd 0.000 0.000 0.000
Pu 0.000 0.000 0.500
Pd 0.250 0.250 0.750
Pt 0.250 0.250 0.250



Ordered calculated total energy results: -4.5605, -9.4155, -6.4448, -5.4101, -5.0966, -7.4001, -6.8138, -7.2772, -5.3301, -3.9715, -6.9235, -5.3634, -6.0869, -5.1855, -3.4974, -4.5943, -7.7239, -4.5927, -7.9781, -6.6414, -2.3390, -8.3052; unit eV/atom.